PBE-GGA TiSn2Os, relaxed; size of the total moment = 0.00 μB/cell; N(E_F) = 10.40 states/eV per cell; formation energy from the elements = 0.42 eV per atom; uncorrected energy = -6.361 eV per atom
1.0
-3.132 1.972 1.715
0.735 -1.903 3.532
4.803 7.264 5.269
Os Sn Ti
2 4 2
Cartesian
0.237 4.635 4.804 Os
0.000 0.000 0.000 Os
-0.671 2.815 2.834 Sn
2.702 5.478 5.912 Sn
1.507 5.505 8.550 Sn
1.275 0.869 3.736 Sn
2.170 2.698 5.712 Ti
-1.198 0.034 2.623 Ti